1.
# Cs2GeRhW

A PBEsol-optimized structure of Cs2GeRhW (meta-GGA SCAN, Alexandria via LeMat-Bulk).

Geometry as extended XYZ:
```
5
Lattice="-4.775 -0.883 -0.192 0.933 -3.915 -5.201 0.791 -5.147 4.016" Properties=species:S:1:pos:R:3 pbc="T T T"
Ge -2.387 -0.442 -0.096
W 0.000 0.000 0.000
Rh -1.525 -4.973 -0.689
Cs 0.467 -1.957 -2.601
Cs 0.396 -2.574 2.008
```

Formation enthalpy at 0 K, eV/atom: 1.648



2.
# LaScTa2

A PBEsol-optimized structure of LaScTa2 (meta-GGA SCAN, Alexandria via LeMat-Bulk).

Geometry as extended XYZ:
```
4
Lattice="-0.008 3.974 -1.394 -2.590 1.095 3.136 3.783 0.982 2.781" Properties=species:S:1:pos:R:3 pbc="T T T"
Ta -0.004 1.987 -0.697
La 0.593 3.026 2.262
Sc 1.891 0.491 1.391
Ta -1.295 0.547 1.568
```

Formation enthalpy at 0 K, eV/atom: 0.541
Polymorph energy (0 for the lowest one), meV per atom: 328



3.
# Rb2S

A PBEsol-optimized structure of Rb2S (meta-GGA SCAN, Alexandria via LeMat-Bulk).

Geometry as extended XYZ:
```
3
Lattice="5.424 0.000 0.000 2.712 4.698 0.000 2.712 1.566 4.429" Properties=species:S:1:pos:R:3 pbc="T T T"
S 0.000 0.000 0.000
Rb 8.136 4.698 3.322
Rb 2.712 1.566 1.107
```

Formation energy (no corrections), eV/atom: -1.212



4.
# MgTaHg2B

A PBEsol-optimized structure of MgTaHg2B (meta-GGA SCAN, Alexandria via LeMat-Bulk).

Geometry as extended XYZ:
```
5
Lattice="-1.602 -4.092 -0.484 0.690 0.253 -4.425 4.123 -1.679 0.547" Properties=species:S:1:pos:R:3 pbc="T T T"
Ta 1.606 -2.759 -2.181
B 0.000 0.000 0.000
Hg 2.062 -0.839 0.274
Hg 0.345 0.126 -2.212
Mg -0.801 -2.046 -0.242
```

Formation enthalpy at 0 K, eV/atom: 1.104



5.
# Ag3SnBr

A PBEsol-optimized structure of Ag3SnBr (meta-GGA SCAN, Alexandria via LeMat-Bulk).

Geometry as extended XYZ:
```
5
Lattice="5.052 0.000 0.000 0.000 5.052 0.000 0.000 0.000 5.052" Properties=species:S:1:pos:R:3 pbc="T T T"
Br 0.000 0.000 0.000
Ag 0.000 2.526 0.000
Ag 2.526 0.000 0.000
Sn 2.526 2.526 2.526
Ag 0.000 0.000 2.526
```

Formation energy (no corrections), eV/atom: 0.720



6.
# DyFe2Ge2

A PBEsol-optimized structure of DyFe2Ge2 (meta-GGA SCAN, Alexandria via LeMat-Bulk).

Geometry as extended XYZ:
```
5
Lattice="-3.462 0.812 -1.727 -1.774 -2.688 2.293 1.746 4.391 3.090" Properties=species:S:1:pos:R:3 pbc="T T T"
Dy 0.000 0.000 0.000
Ge -2.846 -0.038 1.162
Fe -2.167 2.133 0.823
Ge -0.645 2.553 2.494
Fe -1.323 0.382 2.833
```

Formation enthalpy at 0 K, eV/atom: -0.440



7.
# SrOsSe

A PBEsol-optimized structure of SrOsSe (meta-GGA SCAN, Alexandria via LeMat-Bulk).

Geometry as extended XYZ:
```
3
Lattice="4.597 0.000 0.000 2.299 3.981 0.000 2.299 1.327 3.754" Properties=species:S:1:pos:R:3 pbc="T T T"
Os 4.597 2.654 1.877
Se 6.896 3.981 2.815
Sr 0.000 0.000 0.000
```

Polymorph energy (0 for the lowest one), meV per atom: 0
Formation energy (no corrections), eV/atom: 0.461



8.
# NiAgSe2

A PBEsol-optimized structure of NiAgSe2 (meta-GGA SCAN, Alexandria via LeMat-Bulk).

Geometry as extended XYZ:
```
4
Lattice="3.579 0.000 0.000 1.790 3.100 0.000 1.790 1.033 6.760" Properties=species:S:1:pos:R:3 pbc="T T T"
Ag 5.369 3.100 3.010
Se 5.369 3.100 5.514
Ni 1.790 1.033 6.705
Se 1.790 1.033 1.212
```

Polymorph energy (0 for the lowest one), meV per atom: 42
Formation energy (no corrections), eV/atom: -0.157



9.
# KSi2Cl

A PBEsol-optimized structure of KSi2Cl (meta-GGA SCAN, Alexandria via LeMat-Bulk).

Geometry as extended XYZ:
```
4
Lattice="2.772 0.000 0.000 0.000 5.314 0.000 0.000 0.000 6.437" Properties=species:S:1:pos:R:3 pbc="T T T"
Si 0.000 4.109 0.000
K 1.386 0.000 3.218
Cl 1.386 2.657 3.218
Si 0.000 1.205 0.000
```

Polymorph energy (0 for the lowest one), meV per atom: 596
Formation energy (no corrections), eV/atom: 0.226



10.
# Ba2BeCl

A PBEsol-optimized structure of Ba2BeCl (meta-GGA SCAN, Alexandria via LeMat-Bulk).

Geometry as extended XYZ:
```
4
Lattice="-2.009 -4.718 -1.842 1.988 -2.210 -4.566 3.016 -4.530 0.255" Properties=species:S:1:pos:R:3 pbc="T T T"
Cl 0.749 -2.865 -1.538
Be 1.497 -5.729 -3.076
Ba 2.246 -8.594 -4.614
Ba 0.000 0.000 0.000
```

Polymorph energy (0 for the lowest one), meV per atom: 769
Formation energy (no corrections), eV/atom: 0.058



11.
# Sr4Zn

A PBEsol-optimized structure of Sr4Zn (meta-GGA SCAN, Alexandria via LeMat-Bulk).

Geometry as extended XYZ:
```
5
Lattice="-1.730 3.599 -0.221 -6.347 -1.065 -3.831 -4.371 0.493 6.062" Properties=species:S:1:pos:R:3 pbc="T T T"
Sr -3.031 0.837 1.176
Sr -6.108 1.410 -1.577
Sr -6.341 1.616 3.586
Zn 0.000 0.000 0.000
Sr -9.418 2.189 0.833
```

Formation enthalpy at 0 K, eV/atom: -0.062



12.
# Te2PICl

A PBEsol-optimized structure of Te2PICl (meta-GGA SCAN, Alexandria via LeMat-Bulk).

Geometry as extended XYZ:
```
5
Lattice="-2.225 0.712 4.952 2.244 -4.503 1.656 4.288 2.702 1.538" Properties=species:S:1:pos:R:3 pbc="T T T"
Cl 0.000 0.000 0.000
P 2.153 -0.544 4.073
Te 2.144 1.351 0.769
I -1.113 0.356 2.476
Te 1.122 -2.251 0.828
```

Formation energy (no corrections), eV/atom: 1.209



Taking the records one at a time from the top gives D(E_F) values of 0.414, 0.938, 0.000, 0.613, 0.600, 0.488, 0.233, 0.629, 0.491, 0.962, 1.150, 0.713 states/eV per atom.